Entry 1:
VASP calculation (PBE-GGA) on ThZnAuN after structural relaxation.

Space group: P4/nmm, No. 129
Energy relative to the elements, uncorrected in eV/atom: -0.973
Raw total energy in eV/atom: -6.047

Lattice parameters (Å, degrees): 4.182 4.182 8.965 90.00 90.00 90.00
Fractional positions:
Th (0.250, 0.250, 0.124)
Th (0.750, 0.750, 0.876)
Zn (0.250, 0.750, 0.500)
Zn (0.750, 0.250, 0.500)
Au (0.250, 0.250, 0.678)
Au (0.750, 0.750, 0.322)
N (0.250, 0.750, 0.000)
N (0.750, 0.250, 0.000)

Entry 2:
VASP calculation (PBE-GGA) on Ti2Au2N after structural relaxation.

Space group: I4/mmm, No. 139
Energy relative to the elements, uncorrected in eV/atom: 0.997
Raw total energy in eV/atom: -5.137

Lattice parameters (Å, degrees): 7.306 7.306 7.306 151.59 151.59 40.61
Fractional positions:
Ti (0.250, 0.750, 0.500)
Ti (0.750, 0.250, 0.500)
Au (0.100, 0.100, 0.000)
Au (0.900, 0.900, 0.000)
N (0.500, 0.500, 0.000)

Entry 3:
VASP calculation (PBE-GGA) on TiAu2N after structural relaxation.

Space group: I-42d, No. 122
Energy relative to the elements, uncorrected in eV/atom: 0.209
Raw total energy in eV/atom: -5.484

Lattice parameters (Å, degrees): 6.252 6.252 6.252 95.58 95.58 143.65
Fractional positions:
Ti (0.000, 0.000, 0.000)
Ti (0.750, 0.250, 0.500)
Au (0.239, 0.625, 0.114)
Au (0.375, 0.489, 0.614)
Au (0.511, 0.125, 0.886)
Au (0.875, 0.761, 0.386)
N (0.250, 0.750, 0.500)
N (0.500, 0.500, 0.000)

Entry 4:
VASP calculation (PBE-GGA) on Ti2Au2N after structural relaxation.

Space group: P4/mbm, No. 127
Energy relative to the elements, uncorrected in eV/atom: 0.589
Raw total energy in eV/atom: -5.545

Lattice parameters (Å, degrees): 6.600 6.600 3.808 90.00 90.00 90.00
Fractional positions:
Ti (0.159, 0.341, 0.000)
Ti (0.341, 0.841, 0.000)
Ti (0.659, 0.159, 0.000)
Ti (0.841, 0.659, 0.000)
Au (0.146, 0.646, 0.500)
Au (0.354, 0.146, 0.500)
Au (0.646, 0.854, 0.500)
Au (0.854, 0.354, 0.500)
N (0.000, 0.000, 0.500)
N (0.500, 0.500, 0.500)

energy relative to the elements, uncorrected of number 4 (Ti2Au2N)?
0.589 eV/atom